# 1
The following is a DFT calculation (PBE) of a relaxed Hf3Zr2Pa crystal.

Values from the calculation:
The calculated total energy is -9.3442 eV/atom.

Geometry as CIF:
```
data_Hf3Zr2Pa
_chemical_formula_sum 'Hf6 Zr4 Pa2'
_symmetry_space_group_name_H-M 'P -1'
_symmetry_Int_Tables_number 2
_cell_length_a 6.3537
_cell_length_b 6.5156
_cell_length_c 7.9168
_cell_angle_alpha 79.07
_cell_angle_beta 89.79
_cell_angle_gamma 61.03
loop_
_symmetry_equiv_pos_as_xyz
'x,y,z'
'-x,-y,-z'
loop_
_atom_site_label
_atom_site_type_symbol
_atom_site_fract_x
_atom_site_fract_y
_atom_site_fract_z
_atom_site_occupancy
Hf1 Hf 0.1479 0.2106 0.3279 1
Hf2 Hf 0.2389 0.5174 0.9940 1
Hf3 Hf 0.3471 0.3105 0.6538 1
Zr1 Zr 0.1424 0.7115 0.3324 1
Zr2 Zr 0.3585 0.7964 0.6733 1
Pa1 Pa 0.2774 0.9995 0.0007 1
```

# 2
The following is a DFT calculation (PBE) of a relaxed HfZrPa4 crystal.

Values from the calculation:
The calculated total energy is -9.1987 eV/atom.

Geometry as CIF:
```
data_HfZrPa4
_chemical_formula_sum 'Hf2 Zr2 Pa8'
_symmetry_space_group_name_H-M 'I m m 2'
_symmetry_Int_Tables_number 44
_cell_length_a 3.1085
_cell_length_b 5.9195
_cell_length_c 15.9359
_cell_angle_alpha 90.00
_cell_angle_beta 90.00
_cell_angle_gamma 90.00
loop_
_symmetry_equiv_pos_as_xyz
'x,y,z'
'-x,-y,z'
'-x,y,z'
'x,-y,z'
'x+1/2,y+1/2,z+1/2'
'-x+1/2,-y+1/2,z+1/2'
'-x+1/2,y+1/2,z+1/2'
'x+1/2,-y+1/2,z+1/2'
loop_
_atom_site_label
_atom_site_type_symbol
_atom_site_fract_x
_atom_site_fract_y
_atom_site_fract_z
_atom_site_occupancy
Hf1 Hf 0.0000 0.0000 0.0000 1
Zr1 Zr 0.0000 0.5000 0.3266 1
Pa1 Pa 0.0000 0.0000 0.4956 1
Pa2 Pa 0.0000 0.2529 0.6625 1
Pa3 Pa 0.0000 0.5000 0.8334 1
```

# 3
The following is a DFT calculation (PBE) of a relaxed Hf4Zr2Pa crystal.

Values from the calculation:
The calculated total energy is -9.4156 eV/atom.

Geometry as CIF:
```
data_Hf4Zr2Pa
_chemical_formula_sum 'Hf16 Zr8 Pa4'
_symmetry_space_group_name_H-M 'C 1 2/m 1'
_symmetry_Int_Tables_number 12
_cell_length_a 16.3090
_cell_length_b 4.4980
_cell_length_c 10.0639
_cell_angle_alpha 90.00
_cell_angle_beta 119.20
_cell_angle_gamma 90.00
loop_
_symmetry_equiv_pos_as_xyz
'x,y,z'
'-x,-y,-z'
'-x,y,-z'
'x,-y,z'
'x+1/2,y+1/2,z'
'-x+1/2,-y+1/2,-z'
'-x+1/2,y+1/2,-z'
'x+1/2,-y+1/2,z'
loop_
_atom_site_label
_atom_site_type_symbol
_atom_site_fract_x
_atom_site_fract_y
_atom_site_fract_z
_atom_site_occupancy
Hf1 Hf 0.0734 0.0000 0.3578 1
Hf2 Hf 0.1435 0.0000 0.7163 1
Hf3 Hf 0.1441 0.5000 0.2121 1
Hf4 Hf 0.2151 0.0000 0.0714 1
Zr1 Zr 0.0000 0.0000 0.0000 1
Zr2 Zr 0.0000 0.5000 0.5000 1
Zr3 Zr 0.2153 0.5000 0.5764 1
Pa1 Pa 0.0712 0.5000 0.8558 1
```

Computed M_tot (Bohr magnetons per cell) in order:
0.00 0.00 0.00
Computed calculated density (Mg/m³) in order:
11.3 13.5 11.6